(1)
CeSc2Ga: relaxed, GGA-PBE.

Calculated values
energy of formation = -0.17 eV/atom
polymorph energy (0 for the lowest one) = 120 meV/atom
electronic total energy = -0.4096 Ry/atom

Cell lengths 3.2846, 3.2846, 29.6405 Å; angles 90.00, 90.00, 120.00 degrees
With the nearest neighbours (Å) after each atom.
Space group R-3m (No. 166, hexagonal axes)
Asymmetric unit:
Ce 0.0000 0.0000 0.0000 [3 per cell]  6 Ce 3.28, 6 Sc 3.33
Sc 0.0000 0.0000 0.2409 [6 per cell]  3 Ga 2.90
Ga 0.0000 0.0000 0.5000 [3 per cell]  6 Sc 2.90


(2)
Ce3ScGa4: relaxed, GGA-PBE.

Calculated values
energy of formation = -0.52 eV/atom
electronic total energy = -0.3713 Ry/atom

Cell lengths 3.2789, 3.2789, 16.2897 Å; angles 90.00, 90.00, 90.00 degrees
With the nearest neighbours (Å) after each atom.
Space group P4/mmm (No. 123)
Asymmetric unit:
Ce 0.0000 0.0000 0.0000 [1 per cell]  8 Ga 3.15, 4 Ce 3.28
Ce 0.0000 0.0000 0.2622 [2 per cell]  8 Ga 3.13-3.16, 4 Ce 3.28
Sc 0.0000 0.0000 0.5000 [1 per cell]  8 Ga 2.92
Ga 0.5000 0.5000 0.1307 [2 per cell]  8 Ce 3.15-3.16, 4 Ga 3.28
Ga 0.5000 0.5000 0.3912 [2 per cell]  4 Sc 2.92, 4 Ce 3.13


(3)
Ce2ScGa: relaxed, GGA-PBE.

Calculated values
energy of formation = -0.17 eV/atom
polymorph energy (0 for the lowest one) = 151 meV/atom
electronic total energy = -0.4027 Ry/atom

Cell lengths 3.9382, 3.9382, 6.6057 Å; angles 90.00, 90.00, 90.00 degrees
With the nearest neighbours (Å) after each atom.
Space group P4/mmm (No. 123)
Asymmetric unit:
Ce 0.0000 0.0000 0.2114 [2 per cell]  1 Ce 2.79, 4 Ga 3.12
Sc 0.5000 0.5000 0.5000 [1 per cell]  2 Ga 3.30, 8 Ce 3.37
Ga 0.5000 0.5000 0.0000 [1 per cell]  8 Ce 3.12, 2 Sc 3.30


(4)
Ce2ScGa: relaxed, GGA-PBE.

Calculated values
energy of formation = 0.17 eV/atom
polymorph energy (0 for the lowest one) = 494 meV/atom
electronic total energy = -0.3776 Ry/atom

Cell lengths 3.1561, 3.1561, 35.4726 Å; angles 90.00, 90.00, 120.00 degrees
With the nearest neighbours (Å) after each atom.
Space group R-3m (No. 166, hexagonal axes)
Asymmetric unit:
Ce 0.0000 0.0000 0.0867 [6 per cell]  1 Ga 3.08, 6 Ce 3.16, 3 Sc 3.37
Sc 0.0000 0.0000 0.5000 [3 per cell]  6 Sc 3.16, 6 Ce 3.37
Ga 0.0000 0.0000 0.0000 [3 per cell]  2 Ce 3.08, 6 Ga 3.16


(5)
CeSc2Ga: relaxed, GGA-PBE.

Calculated values
energy of formation = -0.23 eV/atom
polymorph energy (0 for the lowest one) = 53 meV/atom
electronic total energy = -0.4145 Ry/atom

Cell lengths 4.5573, 4.5573, 4.3446 Å; angles 90.00, 90.00, 90.00 degrees
With the nearest neighbours (Å) after each atom.
Space group P4/mmm (No. 123)
Asymmetric unit:
Ce 0.0000 0.0000 0.0000 [1 per cell]  8 Sc 3.15, 4 Ga 3.22
Sc 0.0000 0.5000 0.5000 [2 per cell]  4 Ce 3.15, 4 Ga 3.15, 4 Sc 3.22
Ga 0.5000 0.5000 0.0000 [1 per cell]  8 Sc 3.15, 4 Ce 3.22


(6)
CeSc7Ga4: relaxed, GGA-PBE.

Calculated values
energy of formation = -0.22 eV/atom
electronic total energy = -0.3983 Ry/atom

Cell lengths 12.8547, 5.0593, 9.7852 Å; angles 90.00, 124.14, 90.00 degrees
With the nearest neighbours (Å) after each atom.
Space group C2/m (No. 12)
Asymmetric unit:
Ce 0.0000 0.0000 0.0000 [2 per cell]  2 Sc 2.53
Sc 0.0000 0.5000 0.0000 [2 per cell]  2 Ce 2.53, 4 Ga 2.71-2.77
Sc 0.0650 0.0000 0.3879 [4 per cell]  5 Ga 2.86-3.16, 1 Sc 3.03
Sc 0.1952 0.5000 0.6336 [4 per cell]  4 Ga 2.70-2.90
Sc 0.2150 0.0000 0.8764 [4 per cell]  4 Ga 2.95-3.00, 4 Sc 3.03-3.26
Ga 0.0632 0.5000 0.7722 [4 per cell]  7 Sc 2.70-3.00, 1 Ga 2.73
Ga 0.1821 0.5000 0.3279 [4 per cell]  6 Sc 2.71-2.95, 1 Ga 2.73


(7)
Ce4ScGa5: relaxed, GGA-PBE.

Calculated values
energy of formation = -0.52 eV/atom
electronic total energy = -0.3703 Ry/atom

Cell lengths 3.2699, 3.2699, 20.6005 Å; angles 90.00, 90.00, 90.00 degrees
With the nearest neighbours (Å) after each atom.
Space group P4/mmm (No. 123)
Asymmetric unit:
Ce 0.0000 0.0000 0.1036 [2 per cell]  8 Ga 3.15, 4 Ce 3.27
Ce 0.0000 0.0000 0.3113 [2 per cell]  8 Ga 3.13-3.15, 4 Ce 3.27
Sc 0.0000 0.0000 0.5000 [1 per cell]  8 Ga 2.92
Ga 0.5000 0.5000 0.0000 [1 per cell]  8 Ce 3.15, 4 Ga 3.27
Ga 0.5000 0.5000 0.2073 [2 per cell]  8 Ce 3.15, 4 Ga 3.27
Ga 0.5000 0.5000 0.4137 [2 per cell]  4 Sc 2.92, 4 Ce 3.13


(8)
CeSc2Ga: relaxed, GGA-PBE.

Calculated values
energy of formation = -0.08 eV/atom
polymorph energy (0 for the lowest one) = 205 meV/atom
electronic total energy = -0.4033 Ry/atom

Cell lengths 4.6953, 4.6953, 15.9650 Å; angles 90.00, 90.00, 120.00 degrees
With the nearest neighbours (Å) after each atom.
Space group R3m (No. 160, hexagonal axes)
Asymmetric unit:
Ce 0.0000 0.0000 0.0000 [3 per cell]  4 Ga 3.20-3.44, 7 Sc 3.27-3.42
Sc 0.0000 0.0000 0.5519 [3 per cell]  3 Ga 2.73
Sc 0.0000 0.0000 0.7858 [3 per cell]  3 Ga 3.01, 3 Sc 3.14, 3 Ce 3.31
Ga 0.0000 0.0000 0.2004 [3 per cell]  6 Sc 2.73-3.01